La2NiPt PBEsol optimized geometry; uncorrected energy = -0.2403 Ha/atom; Fermi-level density of states = 2.17 states/eV/cell; theoretical density = 8.91 g cm⁻³; SG = P4/mmm, No. 123
1.0
4.123 0.000 0.000
0.000 4.123 0.000
0.000 0.000 5.828
Pt Ni La
1 1 2
direct
0.500 0.500 0.875 Pt
0.000 0.000 0.375 Ni
0.500 0.500 0.375 La
0.000 0.000 0.875 La